Crystalline SiP2O7 at its relaxed geometry. Source: the Alexandria database, functional GGA-PBEsol.

Cell: 4.318 7.166 6.305 Å, 90.00 103.77 90.00°
Sites, in units of the cell vectors:
Si 0.000 0.000 0.000
Si 0.000 0.500 0.500
P 0.387 0.112 0.683
P 0.387 0.388 0.183
P 0.613 0.612 0.817
P 0.613 0.888 0.317
O 0.148 0.511 0.262
O 0.148 0.989 0.762
O 0.237 0.206 0.091
O 0.237 0.294 0.591
O 0.310 0.645 0.638
O 0.310 0.855 0.138
O 0.500 0.000 0.500
O 0.500 0.500 0.000
O 0.690 0.145 0.862
O 0.690 0.355 0.362
O 0.763 0.706 0.409
O 0.763 0.794 0.909
O 0.852 0.011 0.238
O 0.852 0.489 0.738

Summary:
ΔE_f (raw) ... -2.290 eV per atom
E above lowest polymorph ... 64 meV/atom
ρ ... 3.5 g/cm³
Space group ... P2_1/c, No. 14

Crystalline CuGe3Bi at its relaxed geometry. Source: the Alexandria database, functional GGA-PBEsol.

Cell: 4.721 4.721 4.721 Å, 90.00 90.00 90.00°
Sites, in units of the cell vectors:
Cu 0.000 0.000 0.000
Ge 0.000 0.000 0.500
Ge 0.000 0.500 0.000
Ge 0.500 0.000 0.000
Bi 0.500 0.500 0.500

Summary:
E above lowest polymorph ... 0 meV/atom
ρ ... 7.7 g/cm³
Space group ... Pm-3m, No. 221
Energy of formation ... 0.3535 eV per atom

Crystalline KSr8 at its relaxed geometry. Source: the Alexandria database, functional GGA-PBEsol.

Cell: 9.440 9.440 9.440 Å, 95.71 95.71 143.22°
Sites, in units of the cell vectors:
K 0.000 0.000 0.000
Sr 0.000 0.336 0.336
Sr 0.000 0.664 0.664
Sr 0.331 0.331 0.662
Sr 0.331 0.669 0.000
Sr 0.336 0.000 0.336
Sr 0.664 0.000 0.664
Sr 0.669 0.331 0.000
Sr 0.669 0.669 0.338

Summary:
ρ ... 2.6 g/cm³
Space group ... I4/mmm, No. 139
Energy of formation ... 0.0412 eV per atom

Crystalline Ba2Fe3P6HO22 at its relaxed geometry. Source: the Alexandria database, functional GGA-PBEsol.

Cell: 4.810 7.819 11.316 Å, 89.13 89.55 87.42°
Sites, in units of the cell vectors:
Ba 0.235 0.004 0.176
Ba 0.765 0.996 0.824
Fe 0.216 0.494 0.206
Fe 0.500 0.000 0.500
Fe 0.784 0.506 0.794
P 0.019 0.766 0.425
P 0.272 0.702 0.653
P 0.320 0.295 0.950
P 0.680 0.705 0.050
P 0.728 0.298 0.347
P 0.981 0.234 0.575
H 0.000 0.500 0.000
O 0.025 0.703 0.739
O 0.035 0.668 0.310
O 0.097 0.438 0.913
O 0.164 0.648 0.525
O 0.193 0.927 0.411
O 0.230 0.111 0.930
O 0.285 0.196 0.541
O 0.361 0.319 0.085
O 0.376 0.887 0.643
O 0.412 0.681 0.122
O 0.498 0.568 0.683
O 0.502 0.432 0.317
O 0.588 0.319 0.878
O 0.624 0.113 0.357
O 0.639 0.681 0.915
O 0.715 0.804 0.459
O 0.770 0.889 0.070
O 0.807 0.073 0.589
O 0.836 0.352 0.475
O 0.903 0.562 0.087
O 0.965 0.332 0.690
O 0.975 0.297 0.261

Summary:
ρ ... 3.8 g/cm³
Space group ... P-1, No. 2
DFT total energy ... -257.08 eV for the cell shown

Crystalline Zr2InP at its relaxed geometry. Source: the Alexandria database, functional GGA-PBEsol.

Cell: 7.815 7.815 7.815 Å, 26.31 26.31 26.31°
Sites, in units of the cell vectors:
Zr 0.231 0.231 0.231
Zr 0.769 0.769 0.769
In 0.000 0.000 0.000
P 0.500 0.500 0.500

Summary:
E above lowest polymorph ... 0 meV/atom
ρ ... 6.6 g/cm³
Space group ... R-3m, No. 166
Energy of formation ... -0.9082 eV per atom

Crystalline SrPtSe2 at its relaxed geometry. Source: the Alexandria database, functional GGA-PBEsol.

Cell: 4.677 4.732 4.833 Å, 90.00 103.74 90.00°
Sites, in units of the cell vectors:
Sr 0.000 0.000 0.000
Pt 0.481 0.500 0.379
Se 0.336 0.500 0.844
Se 0.626 0.000 0.415

Summary:
ΔE_f (raw) ... -0.920 eV per atom
E above lowest polymorph ... 0 meV/atom
ρ ... 7.0 g/cm³
Space group ... Pm, No. 6

Crystalline CrCdI2 at its relaxed geometry. Source: the Alexandria database, functional GGA-PBEsol.

Cell: 5.312 5.312 5.312 Å, 60.00 60.00 60.00°
Sites, in units of the cell vectors:
Cr 0.000 0.000 0.000
Cd 0.500 0.500 0.500
I 0.250 0.250 0.250
I 0.750 0.750 0.750

Summary:
ΔE_f (raw) ... 0.364 eV per atom
ρ ... 6.6 g/cm³
Space group ... Fm-3m, No. 225

Crystalline AlAg7 at its relaxed geometry. Source: the Alexandria database, functional GGA-PBEsol.

Cell: 8.457 8.457 8.457 Å, 152.26 152.26 39.63°
Sites, in units of the cell vectors:
Al 0.000 0.000 0.000
Ag 0.123 0.623 0.500
Ag 0.251 0.251 0.000
Ag 0.377 0.877 0.500
Ag 0.500 0.500 0.000
Ag 0.623 0.123 0.500
Ag 0.749 0.749 0.000
Ag 0.877 0.377 0.500

Summary:
E above lowest polymorph ... 4 meV/atom
ρ ... 9.9 g/cm³
Space group ... I4/mmm, No. 139
Energy of formation ... -0.0464 eV per atom

Crystalline Ca3Zr2O7 at its relaxed geometry. Source: the Alexandria database, functional GGA-PBEsol.

Cell: 10.289 10.289 5.716 Å, 90.00 90.00 32.35°
Sites, in units of the cell vectors:
Ca 0.052 0.564 0.750
Ca 0.221 0.779 0.750
Ca 0.436 0.948 0.750
Ca 0.564 0.052 0.250
Ca 0.779 0.221 0.250
Ca 0.948 0.436 0.250
Zr 0.154 0.644 0.250
Zr 0.356 0.846 0.250
Zr 0.644 0.154 0.750
Zr 0.846 0.356 0.750
O 0.055 0.347 0.750
O 0.076 0.076 0.000
O 0.076 0.076 0.500
O 0.347 0.055 0.250
O 0.372 0.372 0.000
O 0.372 0.372 0.500
O 0.372 0.628 0.250
O 0.628 0.372 0.750
O 0.628 0.628 0.000
O 0.628 0.628 0.500
O 0.653 0.945 0.750
O 0.924 0.924 0.000
O 0.924 0.924 0.500
O 0.945 0.653 0.250

Summary:
ΔE_f (raw) ... -3.244 eV per atom
ρ ... 4.3 g/cm³
Space group ... Cmcm, No. 63

Crystalline BiBCl2 at its relaxed geometry. Source: the Alexandria database, functional GGA-PBEsol.

Cell: 10.001 10.001 10.001 Å, 19.00 19.00 19.00°
Sites, in units of the cell vectors:
Bi 0.000 0.000 0.000
B 0.500 0.500 0.500
Cl 0.443 0.443 0.443
Cl 0.557 0.557 0.557

Summary:
ΔE_f (raw) ... 0.201 eV per atom
E above lowest polymorph ... 0 meV/atom
ρ ... 5.2 g/cm³
Space group ... R-3m, No. 166

Crystalline MnAlCu2 at its relaxed geometry. Source: the Alexandria database, functional GGA-PBEsol.

Cell: 2.571 4.134 4.689 Å, 90.00 97.24 90.00°
Sites, in units of the cell vectors:
Mn 0.000 0.000 0.000
Al 0.500 0.000 0.500
Cu 0.272 0.500 0.752
Cu 0.728 0.500 0.248

Summary:
ρ ... 7.0 g/cm³
Space group ... P2/m, No. 10
Energy of formation ... 0.0357 eV per atom

Crystalline Zn2SiIr at its relaxed geometry. Source: the Alexandria database, functional GGA-PBEsol.

Cell: 4.556 4.556 4.556 Å, 130.66 130.66 72.36°
Sites, in units of the cell vectors:
Zn 0.000 0.000 0.000
Zn 0.750 0.250 0.500
Si 0.500 0.500 0.000
Ir 0.250 0.750 0.500

Summary:
ΔE_f (raw) ... -0.194 eV per atom
ρ ... 11.0 g/cm³
Space group ... I-4m2, No. 119